## Hf4TlZnC2 (PBE-GGA)

Data for a relaxed Hf4TlZnC2 crystal.

The calculation puts the volume at 138.0 Å³/cell. The raw total energy comes out at -8.32 eV per atom. The density comes out at 12.1 g/cm³. The value obtained for the total magnetization is 0.001 μB per atom.

It has space group P-6m2 (No. 187), with a = 3.3056 Å, b = 3.3056 Å, c = 14.5813 Å, α = 90.00°, β = 90.00° and γ = 120.00°. Symmetry generates all atoms from Hf at (0.0000, 0.0000, 0.1578), Hf at (0.6667, 0.3333, 0.3271), Tl at (0.0000, 0.0000, 0.5000), Zn at (0.6667, 0.3333, 0.0000) and C at (0.3333, 0.6667, 0.2441).